Compound: LaIn3Hg6
Source: the Alexandria database
Functional: GGA-PBE
Structure: optimized geometry

```
data_LaIn3Hg6
_cell_length_a 4.9749
_cell_length_b 10.3795
_cell_length_c 11.8005
_cell_angle_alpha 90.00
_cell_angle_beta 112.73
_cell_angle_gamma 90.00
_space_group_name_H-M_alt 'P 1'
_space_group_IT_number 1
_space_group_name_Hall 'P 1'
loop_
_atom_site_label
_atom_site_type_symbol
_atom_site_fract_x
_atom_site_fract_y
_atom_site_fract_z
La1 La 0.0000 0.0000 0.0000
La2 La 0.0000 0.5000 0.5000
In1 In 0.2810 0.0462 0.7452
In2 In 0.2810 0.4538 0.2452
In3 In 0.5000 0.0000 0.5000
In4 In 0.5000 0.5000 0.0000
In5 In 0.7190 0.5462 0.7548
In6 In 0.7190 0.9538 0.2548
Hg1 Hg 0.0537 0.6787 0.0490
Hg2 Hg 0.0537 0.8213 0.5490
Hg3 Hg 0.2264 0.1652 0.2543
Hg4 Hg 0.2264 0.3348 0.7543
Hg5 Hg 0.4495 0.6922 0.4418
Hg6 Hg 0.4495 0.8078 0.9418
Hg7 Hg 0.5505 0.1922 0.0582
Hg8 Hg 0.5505 0.3078 0.5582
Hg9 Hg 0.7736 0.6652 0.2457
Hg10 Hg 0.7736 0.8348 0.7457
Hg11 Hg 0.9463 0.1787 0.4510
Hg12 Hg 0.9463 0.3213 0.9510
```

Its theoretical density is 9.97 g/cm3. The value obtained for the uncorrected energy is -1.598 eV per atom. As for the density of states at the Fermi level: 7.8 states/eV/cell. As for the calculated formation energy: -0.102 eV per atom.